1.
DFT (PBE) results for a relaxed Cd2WSe crystal.

Crystal system   tetragonal
Formation energy without anion corrections   0.73 eV/atom
DFT total energy   -3.8385 eV/atom

Lattice parameters (Å, degrees): 3.6286 3.6286 5.9964 90.00 90.00 90.00
Space group P4/mmm (No. 123)
Inequivalent atoms, fractional coordinates:
Cd: 0.0000 0.0000 0.2449 x2
W: 0.5000 0.5000 0.0000 x1
Se: 0.5000 0.5000 0.5000 x1

***

2.
DFT (PBE) results for a relaxed RbU2PdO8 crystal.

Crystal system   triclinic
Formation energy without anion corrections   -2.21 eV/atom
DFT total energy   -7.9100 eV/atom

Lattice parameters (Å, degrees): 5.2283 5.2368 7.1105 86.93 86.91 83.12
Space group P-1 (No. 2)
Inequivalent atoms, fractional coordinates:
Rb: 0.0000 0.0000 0.0000 x1
U: 0.4929 0.4930 0.2570 x2
Pd: 0.0000 0.0000 0.5000 x1
O: 0.2003 0.7676 0.6956 x2
O: 0.2333 0.8004 0.3043 x2
O: 0.3242 0.3255 0.4822 x2
O: 0.3458 0.3472 0.9781 x2